{
  "formula": "YMg2Cu",
  "functional": "meta-GGA SCAN",
  "state": "single point on PBEsol structure",
  "m_tot_mub_per_cell": 0.0,
  "space_group": "P4mm (99)",
  "e_form_ev_per_atom": -0.13,
  "dft_energy_ev_per_atom": -13.38,
  "lattice": [[3.292, 0.000, 0.000], [0.000, 3.292, 0.000], [0.000, 0.000, 7.752]],
  "species": ["Y", "Mg", "Mg", "Cu"],
  "frac_coords": [[0.000, 0.000, 0.000], [0.000, 0.000, 0.414], [0.500, 0.500, 0.685], [0.500, 0.500, 0.226]]
}